Record 1
The following is a DFT calculation (GGA-PBE) of Sr2PH after structural relaxation.

The value obtained for the energy relative to the lowest polymorph listed for this composition is 175.3 meV per atom.

It has space group R3m (No. 160, hexagonal axes), with a = 4.2860 Å, b = 4.2860 Å, c = 21.5199 Å, α = 90.00°, β = 90.00° and γ = 120.00°. The inequivalent atoms are Sr at (0.0000, 0.0000, 0.0000), Sr at (0.0000, 0.0000, 0.1832), P at (0.0000, 0.0000, 0.5907) and H at (0.0000, 0.0000, 0.4162).



Record 2
The following is a DFT calculation (GGA-PBE) of CeHf4S8 after structural relaxation.

The value obtained for the energy relative to the lowest polymorph listed for this composition is 0.0 meV per atom. The uncorrected formation energy is -1.6913 eV/atom.

It has space group R-3m (No. 166, hexagonal axes), with a = 7.2266 Å, b = 7.2266 Å, c = 19.6508 Å, α = 90.00°, β = 90.00° and γ = 120.00°. The inequivalent atoms are Ce at (0.0000, 0.0000, 0.0000), Hf at (0.0000, 0.0000, 0.5000), Hf at (0.0000, 0.5000, 0.5000), S at (0.0000, 0.0000, 0.2407) and S at (0.0070, 0.5035, 0.2439).



Record 3
The following is a DFT calculation (GGA-PBE) of CaAl5Ag7 after structural relaxation.

The calculated formation energy comes out at -0.166 eV per atom.

It has space group Imm2 (No. 44), with a = 5.434 Å, b = 9.354 Å, c = 9.259 Å, α = 90.00°, β = 90.00° and γ = 90.00°. The inequivalent atoms are Ca at (0.000, 0.000, 0.000), Al at (0.000, 0.500, 0.273), Al at (0.249, 0.253, 0.744), Ag at (0.000, 0.000, 0.346), Ag at (0.000, 0.000, 0.666), Ag at (0.000, 0.293, 0.491), Ag at (0.000, 0.344, 0.001) and Ag at (0.000, 0.500, 0.721).



Record 4
The following is a DFT calculation (GGA-PBE) of TaTlAg2S4 after structural relaxation.

The uncorrected formation energy is -0.5079 eV/atom.

It has space group I-42m (No. 121), with a = 6.605 Å, b = 6.605 Å, c = 9.586 Å, α = 90.00°, β = 90.00° and γ = 90.00°. The inequivalent atoms are Ta at (0.000, 0.000, 0.000), Tl at (0.000, 0.000, 0.500), Ag at (0.000, 0.500, 0.250) and S at (0.200, 0.200, 0.860).



Record 5
The following is a DFT calculation (GGA-PBE) of LiSc2BiS after structural relaxation.

The uncorrected formation energy is -0.9348 eV/atom.

It has space group P4/mmm (No. 123), with a = 4.931 Å, b = 4.931 Å, c = 4.456 Å, α = 90.00°, β = 90.00° and γ = 90.00°. The inequivalent atoms are Li at (0.000, 0.000, 0.000), Sc at (0.000, 0.500, 0.500), Bi at (0.500, 0.500, 0.000) and S at (0.000, 0.000, 0.500).



Record 6
The following is a DFT calculation (GGA-PBE) of VCu2HgAu after structural relaxation.

The calculated formation energy comes out at 0.849 eV per atom.

It has space group P4/mmm (No. 123), with a = 4.792 Å, b = 4.792 Å, c = 4.953 Å, α = 90.00°, β = 90.00° and γ = 90.00°. The inequivalent atoms are V at (0.000, 0.000, 0.000), Cu at (0.000, 0.500, 0.500), Hg at (0.500, 0.500, 0.000) and Au at (0.000, 0.000, 0.500).



Record 7
The following is a DFT calculation (GGA-PBE) of K2LiRhF6 after structural relaxation.

The uncorrected formation energy is -2.4149 eV/atom.

It has space group Fm-3m (No. 225), with a = 8.193 Å, b = 8.193 Å, c = 8.193 Å, α = 90.00°, β = 90.00° and γ = 90.00°. The inequivalent atoms are K at (0.250, 0.250, 0.250), Li at (0.000, 0.000, 0.000), Rh at (0.000, 0.000, 0.500) and F at (0.000, 0.000, 0.254).



Record 8
The following is a DFT calculation (GGA-PBE) of PuZrPbO6 after structural relaxation.

The uncorrected formation energy is -2.4500 eV/atom.

It has space group P-31c (No. 163), with a = 5.6830 Å, b = 5.6830 Å, c = 10.4364 Å, α = 90.00°, β = 90.00° and γ = 120.00°. The inequivalent atoms are Pu at (0.3333, 0.6667, 0.2500), Zr at (0.3333, 0.6667, 0.7500), Pb at (0.0000, 0.0000, 0.0000) and O at (0.0068, 0.3738, 0.1451).



Record 9
The following is a DFT calculation (GGA-PBE) of ZnPt2W after structural relaxation.

The calculated formation energy comes out at -0.271 eV per atom.

It has space group Pmmm (No. 47), with a = 2.784 Å, b = 3.971 Å, c = 5.519 Å, α = 90.00°, β = 90.00° and γ = 90.00°. The inequivalent atoms are Zn at (0.000, 0.000, 0.000), Pt at (0.500, 0.500, 0.254) and W at (0.000, 0.000, 0.500).



Record 10
The following is a DFT calculation (GGA-PBE) of TlZnHgI2 after structural relaxation.

The uncorrected formation energy is -0.2622 eV/atom.

It has space group P4/mmm (No. 123), with a = 5.985 Å, b = 5.985 Å, c = 5.182 Å, α = 90.00°, β = 90.00° and γ = 90.00°. The inequivalent atoms are Tl at (0.000, 0.000, 0.000), Zn at (0.500, 0.500, 0.500), Hg at (0.500, 0.500, 0.000) and I at (0.000, 0.500, 0.500).



Record 11
The following is a DFT calculation (GGA-PBE) of Ba2AlZnAg6 after structural relaxation.

The calculated formation energy comes out at -0.087 eV per atom.

It has space group C2/m (No. 12), with a = 10.171 Å, b = 10.189 Å, c = 7.184 Å, α = 90.00°, β = 134.80° and γ = 90.00°. The inequivalent atoms are Ba at (0.000, 0.250, 0.000), Al at (0.000, 0.000, 0.500), Zn at (0.000, 0.500, 0.500), Ag at (0.000, 0.250, 0.500), Ag at (0.250, 0.000, 0.000) and Ag at (0.250, 0.000, 0.500).



Record 12
The following is a DFT calculation (GGA-PBE) of NaTcAsBr2 after structural relaxation.

The value obtained for the energy relative to the lowest polymorph listed for this composition is 1047.3 meV per atom. The uncorrected formation energy is 0.8841 eV/atom.

It has space group P4/mmm (No. 123), with a = 5.117 Å, b = 5.117 Å, c = 5.566 Å, α = 90.00°, β = 90.00° and γ = 90.00°. The inequivalent atoms are Na at (0.000, 0.000, 0.000), Tc at (0.500, 0.500, 0.500), As at (0.000, 0.000, 0.500) and Br at (0.000, 0.500, 0.000).



Record 13
The following is a DFT calculation (GGA-PBE) of CsTa4O8 after structural relaxation.

The uncorrected formation energy is -2.3250 eV/atom.

It has space group I4/m (No. 87), with a = 10.971 Å, b = 10.971 Å, c = 2.958 Å, α = 90.00°, β = 90.00° and γ = 90.00°. The inequivalent atoms are Cs at (0.000, 0.000, 0.000), Ta at (0.154, 0.334, 0.000), O at (0.029, 0.665, 0.000) and O at (0.157, 0.192, 0.500).



Record 14
The following is a DFT calculation (GGA-PBE) of PmHf2ZrN4 after structural relaxation.

The uncorrected formation energy is -1.6535 eV/atom.

It has space group Imma (No. 74), with a = 6.595 Å, b = 6.664 Å, c = 9.380 Å, α = 90.00°, β = 90.00° and γ = 90.00°. The inequivalent atoms are Pm at (0.250, 0.250, 0.250), Hf at (0.000, 0.000, 0.000), Hf at (0.250, 0.250, 0.750), Zr at (0.000, 0.000, 0.500), N at (0.000, 0.025, 0.755) and N at (0.240, 0.250, 0.988).



Record 15
The following is a DFT calculation (GGA-PBE) of PrTl2Si2O6 after structural relaxation.

The uncorrected formation energy is -2.1488 eV/atom.

It has space group C2/m (No. 12), with a = 10.464 Å, b = 6.039 Å, c = 7.068 Å, α = 90.00°, β = 119.64° and γ = 90.00°. The inequivalent atoms are Pr at (0.000, 0.000, 0.000), Tl at (0.212, 0.000, 0.637), Si at (0.070, 0.500, 0.711), O at (0.012, 0.272, 0.764) and O at (0.240, 0.500, 0.764).



Record 16
The following is a DFT calculation (GGA-PBE) of LiLuNiSn after structural relaxation.

The calculated formation energy comes out at -0.579 eV per atom.

It has space group F-43m (No. 216), with a = 6.470 Å, b = 6.470 Å, c = 6.470 Å, α = 90.00°, β = 90.00° and γ = 90.00°. The inequivalent atoms are Li at (0.000, 0.000, 0.000), Lu at (0.250, 0.250, 0.250), Ni at (0.000, 0.000, 0.500) and Sn at (0.250, 0.250, 0.750).



Record 17
The following is a DFT calculation (GGA-PBE) of Pm8CoRh5 after structural relaxation.

The calculated formation energy comes out at -0.542 eV per atom.

It has space group I-4 (No. 82), with a = 8.753 Å, b = 8.753 Å, c = 8.817 Å, α = 90.00°, β = 90.00° and γ = 90.00°. The inequivalent atoms are Pm at (0.059, 0.194, 0.313), Pm at (0.061, 0.311, 0.935), Co at (0.000, 0.500, 0.250), Rh at (0.000, 0.000, 0.000) and Rh at (0.124, 0.250, 0.625).



Record 18
The following is a DFT calculation (GGA-PBE) of AcCe2TlOs after structural relaxation.

The calculated formation energy comes out at -0.084 eV per atom.

It has space group P4mm (No. 99), with a = 5.318 Å, b = 5.318 Å, c = 6.083 Å, α = 90.00°, β = 90.00° and γ = 90.00°. The inequivalent atoms are Ac at (0.000, 0.000, 0.000), Ce at (0.000, 0.500, 0.484), Tl at (0.500, 0.500, 0.071) and Os at (0.000, 0.000, 0.505).



Record 19
The following is a DFT calculation (GGA-PBE) of ScRu2Br after structural relaxation.

The value obtained for the energy relative to the lowest polymorph listed for this composition is 982.1 meV per atom. The uncorrected formation energy is 0.9008 eV/atom.

It has space group I-42d (No. 122), with a = 5.989 Å, b = 5.989 Å, c = 10.183 Å, α = 90.00°, β = 90.00° and γ = 90.00°. The inequivalent atoms are Sc at (0.000, 0.000, 0.000), Ru at (0.218, 0.250, 0.625) and Br at (0.000, 0.000, 0.500).



Record 20
The following is a DFT calculation (GGA-PBE) of KCd2Co after structural relaxation.

The value obtained for the energy relative to the lowest polymorph listed for this composition is 89.8 meV per atom. The calculated formation energy comes out at 0.408 eV per atom.

It has space group P4mm (No. 99), with a = 3.621 Å, b = 3.621 Å, c = 8.070 Å, α = 90.00°, β = 90.00° and γ = 90.00°. The inequivalent atoms are K at (0.000, 0.000, 0.000), Cd at (0.000, 0.000, 0.585), Cd at (0.500, 0.500, 0.330) and Co at (0.500, 0.500, 0.661).



| no. | M_tot (μB per formula unit) |
| --- | --- |
| 1 | 0.00 |
| 2 | 0.49 |
| 3 | 0.00 |
| 4 | 0.00 |
| 5 | 0.00 |
| 6 | 3.15 |
| 7 | 0.08 |
| 8 | 2.00 |
| 9 | 0.00 |
| 10 | 0.00 |
| 11 | 0.00 |
| 12 | 5.06 |
| 13 | 0.00 |
| 14 | 0.00 |
| 15 | 1.00 |
| 16 | 0.00 |
| 17 | 0.00 |
| 18 | 1.45 |
| 19 | 0.00 |
| 20 | 1.31 |